SbMoN2F: optimized geometry, GGA+U.

The structure in POSCAR format:
```
SbMoN2F
1.0
-3.762 -0.541 2.318
-1.531 -2.203 -2.999
1.672 -3.686 1.854
N F Sb Mo
2 1 1 1
direct
0.000 0.000 0.500
0.500 0.000 0.000
0.000 0.000 0.000
0.000 0.500 0.000
0.500 0.500 0.500
```

* DOS at the Fermi energy: 2.97 states/eV per cell
* DFT total energy: -4.22 eV per atom
* total moment: 1.0 μB per formula unit
* space-group type: P4/mmm, No. 123